[1]
Below is crystalline CuNiTeI2 at its relaxed geometry, with properties calculated at the GGA-PBE level.

Energy relative to the elements, uncorrected ... 0.8218 eV/atom

Cell: 5.3429 5.3429 5.2306 Å, 90.00 90.00 90.00°
With the nearest neighbours (Å) after each atom.
Space group P4/mmm (No. 123)
Inequivalent atoms, fractional coordinates:
Cu 0.0000 0.0000 0.0000 (multiplicity 1)  2 Te 2.62, 4 I 2.67
Ni 0.5000 0.5000 0.5000 (multiplicity 1)  8 I 3.74, 4 Te 3.78
Te 0.0000 0.0000 0.5000 (multiplicity 1)  2 Cu 2.62
I 0.0000 0.5000 0.0000 (multiplicity 2)  2 Cu 2.67

***

[2]
Below is crystalline AcHo2In at its relaxed geometry, with properties calculated at the GGA-PBE level.

Formation energy from the elements ... -0.1 eV/f.u.

Cell: 5.2481 5.2481 17.6226 Å, 90.00 90.00 120.00°
With the nearest neighbours (Å) after each atom.
Space group R3m (No. 160, hexagonal axes)
Inequivalent atoms, fractional coordinates:
Ac 0.0000 0.0000 0.0000 (multiplicity 3)  4 In 3.58-3.80, 7 Ho 3.66-3.76
Ho 0.0000 0.0000 0.5501 (multiplicity 3)  3 In 3.04
Ho 0.0000 0.0000 0.7867 (multiplicity 3)  3 In 3.36, 3 Ho 3.48, 4 Ac 3.70-3.76
In 0.0000 0.0000 0.2031 (multiplicity 3)  6 Ho 3.04-3.36

***

[3]
Below is crystalline KPm2GeO5 at its relaxed geometry, with properties calculated at the GGA-PBE level.

Energy relative to the elements, uncorrected ... -2.3826 eV/atom

Cell: 6.8206 6.8206 11.6899 Å, 90.00 90.00 90.00°
With the nearest neighbours (Å) after each atom.
Space group I4/mcm (No. 140)
Inequivalent atoms, fractional coordinates:
K 0.0000 0.0000 0.2500 (multiplicity 4)  10 O 2.92-3.01
Pm 0.1785 0.3215 0.0000 (multiplicity 8)  4 O 2.32-2.51
Ge 0.0000 0.5000 0.2500 (multiplicity 4)  4 O 1.95
O 0.0000 0.0000 0.0000 (multiplicity 4)  4 Pm 2.51
O 0.1367 0.3633 0.3723 (multiplicity 16)  1 Ge 1.95

***

[4]
Below is crystalline Zn3AgPd6 at its relaxed geometry, with properties calculated at the GGA-PBE level.

Formation energy from the elements ... -2.3 eV/f.u.

Cell: 9.8796 11.4802 5.5656 Å, 90.00 90.00 90.00°
With the nearest neighbours (Å) after each atom.
Space group Cmc2_1 (No. 36)
Inequivalent atoms, fractional coordinates:
Zn 0.0000 0.0041 0.0000 (multiplicity 4)  6 Pd 2.54-2.72, 2 Zn 2.78, 2 Ag 2.81-2.83
Zn 0.1265 0.3793 0.9305 (multiplicity 8)  7 Pd 2.47-2.69, 1 Zn 2.50
Ag 0.0000 0.2132 0.2685 (multiplicity 4)  7 Pd 2.77-2.96, 4 Zn 2.81-2.96
Pd 0.0000 0.1955 0.7640 (multiplicity 4)  4 Zn 2.56-2.72, 2 Ag 2.77-2.81, 2 Pd 2.86
Pd 0.0000 0.4302 0.5154 (multiplicity 4)  4 Zn 2.56-2.69, 2 Pd 2.84, 1 Ag 2.85
Pd 0.2184 0.0269 0.7335 (multiplicity 8)  4 Zn 2.52-2.63, 1 Pd 2.75
Pd 0.2376 0.2921 0.5477 (multiplicity 8)  2 Zn 2.47-2.60, 1 Pd 2.75

***

[5]
Below is crystalline RbBiAsBr2 at its relaxed geometry, with properties calculated at the GGA-PBE level.

Energy relative to the elements, uncorrected ... -0.4934 eV/atom

Cell: 6.0114 6.0114 5.5179 Å, 90.00 90.00 90.00°
With the nearest neighbours (Å) after each atom.
Space group P4/mmm (No. 123)
Inequivalent atoms, fractional coordinates:
Rb 0.0000 0.0000 0.0000 (multiplicity 1)  8 Br 4.08, 4 As 4.25
Bi 0.5000 0.5000 0.5000 (multiplicity 1)  2 As 2.76, 4 Br 3.01
As 0.5000 0.5000 0.0000 (multiplicity 1)  2 Bi 2.76
Br 0.0000 0.5000 0.5000 (multiplicity 2)  2 Bi 3.01

***

[6]
Below is crystalline InCu2Br at its relaxed geometry, with properties calculated at the GGA-PBE level.

Energy relative to the elements, uncorrected ... 0.2232 eV/atom

Cell: 3.2580 6.0768 8.4326 Å, 90.00 90.00 90.00°
With the nearest neighbours (Å) after each atom.
Space group Immm (No. 71)
Inequivalent atoms, fractional coordinates:
In 0.0000 0.0000 0.0000 (multiplicity 2)  4 Cu 2.68
Cu 0.0000 0.5000 0.2479 (multiplicity 4)  2 Br 2.65, 2 In 2.68
Br 0.0000 0.0000 0.5000 (multiplicity 2)  4 Cu 2.65

***

[7]
Below is crystalline Na2AlF4 at its relaxed geometry, with properties calculated at the GGA-PBE level.

Energy relative to the elements, uncorrected ... -2.7059 eV/atom

Cell: 12.5651 3.0032 5.8538 Å, 90.00 104.40 90.00°
With the nearest neighbours (Å) after each atom.
Space group C2/m (No. 12)
Inequivalent atoms, fractional coordinates:
Na 0.1930 0.0000 0.2185 (multiplicity 4)  3 F 2.33-2.43
Al 0.0000 0.5000 0.5000 (multiplicity 2)  6 F 1.79-1.92
F 0.0294 0.0000 0.7105 (multiplicity 4)  2 Al 1.92
F 0.1379 0.5000 0.4700 (multiplicity 4)  1 Al 1.79

***

[8]
Below is crystalline K8RbAu4 at its relaxed geometry, with properties calculated at the GGA-PBE level.

Formation energy from the elements ... -1.7 eV/f.u.

Cell: 16.1645 9.7362 11.8130 Å, 90.00 132.03 90.00°
With the nearest neighbours (Å) after each atom.
Space group C2/m (No. 12)
Inequivalent atoms, fractional coordinates:
K 0.0641 0.2186 0.3257 (multiplicity 8)  3 Au 3.27-3.38
K 0.1766 0.0000 0.1161 (multiplicity 4)  3 Au 3.35-3.51
K 0.2062 0.5000 0.1892 (multiplicity 4)  3 Au 3.40-3.65
Rb 0.0000 0.5000 0.5000 (multiplicity 2)  2 Au 3.52
Au 0.0000 0.2611 0.0000 (multiplicity 4)  6 K 3.27-3.40
Au 0.2243 0.5000 0.5139 (multiplicity 4)  6 K 3.34-3.65, 1 Rb 3.52

***

[9]
Below is crystalline PuNp2UN4 at its relaxed geometry, with properties calculated at the GGA-PBE level.

Energy relative to the elements, uncorrected ... -1.1907 eV/atom

Cell: 5.9508 3.4389 5.9890 Å, 90.00 109.46 90.00°
With the nearest neighbours (Å) after each atom.
Space group P2/m (No. 10)
Inequivalent atoms, fractional coordinates:
Pu 0.0000 0.0000 0.0000 (multiplicity 1)  6 N 2.47
Np 0.0000 0.5000 0.5000 (multiplicity 1)  6 N 2.46-2.47
Np 0.5000 0.0000 0.5000 (multiplicity 1)  6 N 2.40
U 0.5000 0.5000 0.0000 (multiplicity 1)  6 N 2.41
N 0.2596 0.0000 0.7521 (multiplicity 2)  3 Np 2.40-2.46, 2 U 2.41, 1 Pu 2.47
N 0.2612 0.5000 0.2545 (multiplicity 2)  3 Np 2.40-2.47, 1 U 2.41, 2 Pu 2.47

***

[10]
Below is crystalline TcAsBr2 at its relaxed geometry, with properties calculated at the GGA-PBE level.

Energy relative to the elements, uncorrected ... 0.6883 eV/atom

Cell: 3.0859 3.0859 9.3745 Å, 90.00 90.00 90.00°
With the nearest neighbours (Å) after each atom.
Space group P4/mmm (No. 123)
Inequivalent atoms, fractional coordinates:
Tc 0.0000 0.0000 0.0000 (multiplicity 1)  8 Br 2.70
As 0.0000 0.0000 0.5000 (multiplicity 1)  4 As 3.09
Br 0.5000 0.5000 0.1704 (multiplicity 2)  4 Tc 2.70

***

[11]
Below is crystalline Y2Fe17C3 at its relaxed geometry, with properties calculated at the GGA-PBE level.

Formation energy from the elements ... -1.7 eV/f.u.

Cell: 8.6334 8.6334 12.5063 Å, 90.00 90.00 120.00°
With the nearest neighbours (Å) after each atom.
Space group R-3m (No. 166, hexagonal axes)
Inequivalent atoms, fractional coordinates:
Y 0.0000 0.0000 0.1561 (multiplicity 6)  3 C 2.50
Fe 0.0000 0.0000 0.4046 (multiplicity 6)  7 Fe 2.39-2.65
Fe 0.0000 0.2839 0.5000 (multiplicity 18)  1 C 1.87
Fe 0.0000 0.5000 0.0000 (multiplicity 9)  10 Fe 2.45-2.65
Fe 0.0083 0.5041 0.3474 (multiplicity 18)  1 C 1.91
C 0.0000 0.5000 0.5000 (multiplicity 9)  4 Fe 1.87-1.91

***

[12]
Below is crystalline LiScB2 at its relaxed geometry, with properties calculated at the GGA-PBE level.

Formation energy from the elements ... 1.2 eV/f.u.

Cell: 5.6085 5.6085 5.6085 Å, 90.00 90.00 90.00°
With the nearest neighbours (Å) after each atom.
Space group Fm-3m (No. 225)
Inequivalent atoms, fractional coordinates:
Li 0.0000 0.0000 0.0000 (multiplicity 4)  8 B 2.43
Sc 0.0000 0.0000 0.5000 (multiplicity 4)  8 B 2.43
B 0.2500 0.2500 0.2500 (multiplicity 8)  4 Li 2.43, 4 Sc 2.43

***

[13]
Below is crystalline La8Co3SI4 at its relaxed geometry, with properties calculated at the GGA-PBE level.

Energy relative to the elements, uncorrected ... -0.8923 eV/atom

Cell: 14.7121 8.2958 9.4568 Å, 90.00 120.73 90.00°
With the nearest neighbours (Å) after each atom.
Space group C2/m (No. 12)
Inequivalent atoms, fractional coordinates:
La 0.0213 0.2365 0.3135 (multiplicity 8)  2 Co 2.76-2.89, 1 S 2.92
La 0.2326 0.0000 0.6818 (multiplicity 4)  3 Co 2.79-2.94
La 0.2362 0.5000 0.6821 (multiplicity 4)  2 Co 2.77, 1 S 2.99
Co 0.0000 0.0000 0.5000 (multiplicity 2)  6 La 2.76-2.94
Co 0.2500 0.2500 0.5000 (multiplicity 4)  6 La 2.77-2.89
S 0.0000 0.5000 0.5000 (multiplicity 2)  6 La 2.92-2.99
I 0.0000 0.0000 0.0000 (multiplicity 2)  6 La 3.43-3.49
I 0.0000 0.5000 0.0000 (multiplicity 2)  6 La 3.53-3.57
I 0.2500 0.2500 0.0000 (multiplicity 4)  6 La 3.55-3.57

***

[14]
Below is crystalline ZnI2F at its relaxed geometry, with properties calculated at the GGA-PBE level.

Energy relative to the elements, uncorrected ... -0.4528 eV/atom

Cell: 6.8059 6.8059 10.8211 Å, 90.00 90.00 90.00°
With the nearest neighbours (Å) after each atom.
Space group I-42d (No. 122)
Inequivalent atoms, fractional coordinates:
Zn 0.0000 0.0000 0.0000 (multiplicity 4)  4 I 2.66
I 0.2244 0.2500 0.1250 (multiplicity 8)  2 Zn 2.66, 2 F 2.87
F 0.0000 0.0000 0.5000 (multiplicity 4)  4 I 2.87

***

[15]
Below is crystalline Ac2TbMn2N6 at its relaxed geometry, with properties calculated at the GGA-PBE level.

Energy relative to the elements, uncorrected ... -0.7794 eV/atom

Cell: 5.7175 5.7175 18.3471 Å, 90.00 90.00 120.00°
With the nearest neighbours (Å) after each atom.
Space group R-3m (No. 166, hexagonal axes)
Inequivalent atoms, fractional coordinates:
Ac 0.0000 0.0000 0.2147 (multiplicity 6)  9 N 2.79-2.90
Tb 0.0000 0.0000 0.0000 (multiplicity 3)  6 N 2.39
Mn 0.0000 0.0000 0.4032 (multiplicity 6)  3 N 1.68
N 0.0043 0.5022 0.2406 (multiplicity 18)  1 Mn 1.68

***

[16]
Below is crystalline Ta2FeTe at its relaxed geometry, with properties calculated at the GGA-PBE level.

Energy relative to the elements, uncorrected ... 0.2799 eV/atom

Cell: 5.8287 7.3119 3.2789 Å, 90.00 90.00 90.00°
With the nearest neighbours (Å) after each atom.
Space group Cmmm (No. 65)
Inequivalent atoms, fractional coordinates:
Ta 0.2500 0.2500 0.0000 (multiplicity 4)  4 Fe 2.86, 4 Te 2.86, 2 Ta 2.91
Fe 0.0000 0.0000 0.5000 (multiplicity 2)  8 Ta 2.86, 2 Te 2.91
Te 0.0000 0.5000 0.5000 (multiplicity 2)  8 Ta 2.86, 2 Fe 2.91

***

[17]
Below is crystalline CoIr2Os at its relaxed geometry, with properties calculated at the GGA-PBE level.

Formation energy from the elements ... 0.2 eV/f.u.

Cell: 2.7064 3.7613 5.3524 Å, 90.00 90.00 90.00°
With the nearest neighbours (Å) after each atom.
Space group Pmm2 (No. 25)
Inequivalent atoms, fractional coordinates:
Co 0.0000 0.0000 0.0000 (multiplicity 1)  6 Ir 2.62-2.73, 4 Os 2.65, 2 Co 2.71
Ir 0.0000 0.0000 0.5106 (multiplicity 1)  2 Co 2.62-2.73, 4 Os 2.67, 6 Ir 2.71-2.74
Ir 0.5000 0.5000 0.2390 (multiplicity 1)  2 Os 2.56-2.79, 4 Co 2.65, 6 Ir 2.71-2.74
Os 0.5000 0.5000 0.7600 (multiplicity 1)  6 Ir 2.56-2.79, 4 Co 2.65, 2 Os 2.71

***

[18]
Below is crystalline InTeSe2 at its relaxed geometry, with properties calculated at the GGA-PBE level.

Energy relative to the elements, uncorrected ... -0.0340 eV/atom

Cell: 4.0518 7.4072 7.9769 Å, 90.00 90.00 90.00°
With the nearest neighbours (Å) after each atom.
Space group Immm (No. 71)
Inequivalent atoms, fractional coordinates:
In 0.0000 0.0000 0.0000 (multiplicity 2)  4 Se 2.87
Te 0.0000 0.0000 0.5000 (multiplicity 2)  4 Se 2.82
Se 0.0000 0.5000 0.2454 (multiplicity 4)  2 Te 2.82, 2 In 2.87

***

[19]
Below is crystalline MgSiSnHS at its relaxed geometry, with properties calculated at the GGA-PBE level.

E ... -3.885 eV/atom

Cell: 4.0374 3.4064 7.0887 Å, 90.00 90.05 90.00°
With the nearest neighbours (Å) after each atom.
Space group Pm (No. 6)
Inequivalent atoms, fractional coordinates:
Mg 0.0000 0.0000 0.0000 (multiplicity 1)  4 S 2.73-2.74, 2 Sn 3.03
Si 0.4932 0.5000 0.4181 (multiplicity 1)  2 H 1.70
Sn 0.9933 0.5000 0.6459 (multiplicity 1)  2 Si 2.58-2.59
H 0.4924 0.0000 0.4088 (multiplicity 1)  2 Si 1.70
S 0.4974 0.5000 0.1007 (multiplicity 1)  1 Si 2.25

***

[20]
Below is crystalline Mn2ReTc at its relaxed geometry, with properties calculated at the GGA-PBE level.

Formation energy from the elements ... 0.4 eV/f.u.

Cell: 4.2274 4.2274 3.0089 Å, 90.00 90.00 90.00°
With the nearest neighbours (Å) after each atom.
Space group P4/mmm (No. 123)
Inequivalent atoms, fractional coordinates:
Mn 0.0000 0.5000 0.0000 (multiplicity 2)  4 Re 2.59, 4 Tc 2.59
Re 0.0000 0.0000 0.5000 (multiplicity 1)  8 Mn 2.59
Tc 0.5000 0.5000 0.5000 (multiplicity 1)  8 Mn 2.59